1.
Below is a relaxed ScCuSbPd crystal, with properties calculated at the GGA-PBE level. Values from VASP.

For the total energy, the calculation gives -5.287 eV/atom. The energy relative to the lowest polymorph listed for this composition comes out at 90.3 meV per atom. Its symmetry is F-43m.

Cell and atoms, written as Quantum ESPRESSO input:
```
&SYSTEM
  ibrav = 0, nat = 4, ntyp = 4
/
ATOMIC_SPECIES
Sc 44.96 Sc.upf
Cu 63.55 Cu.upf
Sb 121.76 Sb.upf
Pd 106.42 Pd.upf
CELL_PARAMETERS angstrom
0.0000 3.2955 3.2955
3.2955 0.0000 3.2955
3.2955 3.2955 0.0000
ATOMIC_POSITIONS angstrom
Sc 0.0000 0.0000 0.0000
Cu 3.2955 3.2955 3.2955
Sb 4.9433 4.9433 4.9433
Pd 1.6478 1.6478 1.6478
```

2.
Below is a relaxed KPrHgTe3 crystal, with properties calculated at the GGA-PBE level. Values from VASP.

For the total energy, the calculation gives -3.486 eV/atom. Its symmetry is C2/m.

Cell and atoms, written as Quantum ESPRESSO input:
```
&SYSTEM
  ibrav = 0, nat = 12, ntyp = 4
/
ATOMIC_SPECIES
K 39.10 K.upf
Pr 140.91 Pr.upf
Hg 200.59 Hg.upf
Te 127.60 Te.upf
CELL_PARAMETERS angstrom
10.4390 -2.2963 0.0000
10.4390 2.2963 0.0000
-2.0848 0.0000 9.3735
ATOMIC_POSITIONS angstrom
K 2.6467 0.0000 0.6801
K 16.1465 0.0000 8.6934
Pr 2.4008 0.0000 5.4551
Pr 16.3924 0.0000 3.9183
Hg 9.1327 0.0000 2.6057
Hg 9.6605 0.0000 6.7677
Te -1.0424 0.0000 4.6867
Te 6.3826 0.0000 1.7198
Te 5.4902 0.0000 6.0399
Te 10.4390 0.0000 0.0000
Te 13.3030 0.0000 3.3335
Te 12.4106 0.0000 7.6537
```

3.
Below is a relaxed Tm3Al3NiAu2 crystal, with properties calculated at the GGA-PBE level. Values from VASP.

For the total energy, the calculation gives -4.853 eV/atom. Its symmetry is P-62m.

Cell and atoms, written as Quantum ESPRESSO input:
```
&SYSTEM
  ibrav = 0, nat = 9, ntyp = 4
/
ATOMIC_SPECIES
Tm 168.93 Tm.upf
Al 26.98 Al.upf
Ni 58.69 Ni.upf
Au 196.97 Au.upf
CELL_PARAMETERS angstrom
7.2189 0.0000 0.0000
-3.6095 6.2518 0.0000
0.0000 0.0000 3.8938
ATOMIC_POSITIONS angstrom
Tm -1.4540 2.5185 0.0000
Tm 2.9081 0.0000 0.0000
Tm 2.1554 3.7333 0.0000
Al -2.7807 4.8164 1.9469
Al 0.8287 1.4354 1.9469
Al 5.5615 0.0000 1.9469
Ni 0.0000 0.0000 0.0000
Au 0.0000 4.1678 1.9469
Au 3.6095 2.0839 1.9469
```

Please write out number 2 again, unchanged.
Below is a relaxed KPrHgTe3 crystal, with properties calculated at the GGA-PBE level. Values from VASP.

For the total energy, the calculation gives -3.486 eV/atom. Its symmetry is C2/m.

Cell and atoms, written as Quantum ESPRESSO input:
```
&SYSTEM
  ibrav = 0, nat = 12, ntyp = 4
/
ATOMIC_SPECIES
K 39.10 K.upf
Pr 140.91 Pr.upf
Hg 200.59 Hg.upf
Te 127.60 Te.upf
CELL_PARAMETERS angstrom
10.4390 -2.2963 0.0000
10.4390 2.2963 0.0000
-2.0848 0.0000 9.3735
ATOMIC_POSITIONS angstrom
K 2.6467 0.0000 0.6801
K 16.1465 0.0000 8.6934
Pr 2.4008 0.0000 5.4551
Pr 16.3924 0.0000 3.9183
Hg 9.1327 0.0000 2.6057
Hg 9.6605 0.0000 6.7677
Te -1.0424 0.0000 4.6867
Te 6.3826 0.0000 1.7198
Te 5.4902 0.0000 6.0399
Te 10.4390 0.0000 0.0000
Te 13.3030 0.0000 3.3335
Te 12.4106 0.0000 7.6537
```